Material: CdSbP
Method: DFT, GGA-PBE
State: optimized geometry

a b c (Å): 5.419 5.787 6.274
angles (deg): 101.63 100.86 109.21
Fractional coordinates of all 6 atoms:
Cd  0.371  0.140  0.805
Cd  0.629  0.860  0.195
Sb  0.904  0.689  0.597
Sb  0.096  0.311  0.403
P  0.181  0.462  0.061
P  0.819  0.538  0.939

density	5.03	g/cm3
total DFT energy (no corrections)	-3.422	eV per atom
D(E_F)	0.01	states/eV/cell
formation energy without anion corrections	0.06	eV/atom
E above lowest polymorph	73	meV per atom